Below is a relaxed structure of MgCrFeC2, with properties calculated at the PBE-GGA level.

## Properties
Calculated formation energy = 1.42 eV per atom

Cell: 3.7384 3.7384 4.7397 Å, 90.00 90.00 90.00°
With the nearest neighbours (Å) after each atom.
Positions (direct):
1 Mg 0.0000 0.0000 0.0000  4 Cr 2.64
2 Cr 0.5000 0.5000 0.0000  2 Fe 2.37, 4 Mg 2.64
3 Fe 0.5000 0.5000 0.5000  4 C 1.87
4 C 0.0000 0.5000 0.5000  2 Fe 1.87
5 C 0.5000 0.0000 0.5000  2 Fe 1.87

=====

Below is a relaxed structure of MgCrFe2C, with properties calculated at the PBE-GGA level.

## Properties
Calculated formation energy = 0.09 eV per atom

Cell: 3.8496 3.8496 4.0117 Å, 90.00 90.00 90.00°
With the nearest neighbours (Å) after each atom.
Positions (direct):
1 Mg 0.0000 0.0000 0.0000  4 Cr 2.72, 8 Fe 2.78
2 Cr 0.5000 0.5000 0.0000  2 C 2.01
3 Fe 0.0000 0.5000 0.5000  2 C 1.92
4 Fe 0.5000 0.0000 0.5000  2 C 1.92
5 C 0.5000 0.5000 0.5000  4 Fe 1.92, 2 Cr 2.01

=====

Below is a relaxed structure of Cr2FeMoC, with properties calculated at the PBE-GGA level.

## Properties
Calculated formation energy = 0.07 eV per atom

Cell: 3.8808 3.8808 3.7256 Å, 90.00 90.00 90.00°
With the nearest neighbours (Å) after each atom.
Positions (direct):
1 Cr 0.0000 0.5000 0.0000  2 C 1.94
2 Cr 0.5000 0.0000 0.0000  2 C 1.94
3 Fe 0.0000 0.0000 0.5000  2 C 1.86
4 Mo 0.5000 0.5000 0.5000  8 Cr 2.69, 4 Fe 2.74
5 C 0.0000 0.0000 0.0000  2 Fe 1.86, 4 Cr 1.94

=====

Below is a relaxed structure of NbCr2FeC, with properties calculated at the PBE-GGA level.

## Properties
Calculated formation energy = -0.02 eV per atom

Cell: 3.9429 3.9429 3.7548 Å, 90.00 90.00 90.00°
With the nearest neighbours (Å) after each atom.
Positions (direct):
1 Nb 0.0000 0.0000 0.0000  8 Cr 2.72, 4 Fe 2.79
2 Cr 0.0000 0.5000 0.5000  2 C 1.97
3 Cr 0.5000 0.0000 0.5000  2 C 1.97
4 Fe 0.5000 0.5000 0.0000  2 C 1.88
5 C 0.5000 0.5000 0.5000  2 Fe 1.88, 4 Cr 1.97

=====

Below is a relaxed structure of NbCrFe2C, with properties calculated at the PBE-GGA level.

## Properties
Calculated formation energy = -0.08 eV per atom

Cell: 3.7736 3.7736 3.9318 Å, 90.00 90.00 90.00°
With the nearest neighbours (Å) after each atom.
Positions (direct):
1 Nb 0.0000 0.0000 0.0000  4 Cr 2.67, 8 Fe 2.72
2 Cr 0.5000 0.5000 0.0000  2 C 1.97
3 Fe 0.0000 0.5000 0.5000  2 C 1.89
4 Fe 0.5000 0.0000 0.5000  2 C 1.89
5 C 0.5000 0.5000 0.5000  4 Fe 1.89, 2 Cr 1.97

=====

Below is a relaxed structure of CrFe2PdC, with properties calculated at the PBE-GGA level.

## Properties
Calculated formation energy = 0.11 eV per atom

Cell: 3.8582 3.8582 3.9475 Å, 90.00 90.00 90.00°
With the nearest neighbours (Å) after each atom.
Positions (direct):
1 Cr 0.0000 0.0000 0.0000  2 C 1.97
2 Fe 0.0000 0.5000 0.5000  2 C 1.93
3 Fe 0.5000 0.0000 0.5000  2 C 1.93
4 Pd 0.5000 0.5000 0.0000  4 Cr 2.73, 8 Fe 2.76
5 C 0.0000 0.0000 0.5000  4 Fe 1.93, 2 Cr 1.97

=====

Below is a relaxed structure of PmCrFeC2, with properties calculated at the PBE-GGA level.

## Properties
Calculated formation energy = -0.14 eV per atom

Cell: 3.5269 3.5269 10.0733 Å, 90.00 90.00 90.00°
With the nearest neighbours (Å) after each atom.
Positions (direct):
1 Pm 0.0000 0.0000 0.0000  8 C 3.00, 4 Cr 3.07, 4 Fe 3.07
2 Pm 0.5000 0.5000 0.5000  8 C 3.00, 4 Cr 3.07, 4 Fe 3.07
3 Cr 0.0000 0.5000 0.7500  4 C 1.96
4 Cr 0.5000 0.0000 0.2500  4 C 1.96
5 Fe 0.0000 0.5000 0.2500  4 C 1.96
6 Fe 0.5000 0.0000 0.7500  4 C 1.96
7 C 0.0000 0.0000 0.3347  2 Cr 1.96, 2 Fe 1.96
8 C 0.0000 0.0000 0.6653  2 Cr 1.96, 2 Fe 1.96
9 C 0.5000 0.5000 0.1653  2 Cr 1.96, 2 Fe 1.96
10 C 0.5000 0.5000 0.8347  2 Cr 1.96, 2 Fe 1.96

=====

Below is a relaxed structure of CrFe2PtC, with properties calculated at the PBE-GGA level.

## Properties
Calculated formation energy = 0.03 eV per atom

Cell: 3.8525 3.8525 3.9098 Å, 90.00 90.00 90.00°
With the nearest neighbours (Å) after each atom.
Positions (direct):
1 Cr 0.0000 0.0000 0.0000  2 C 1.95
2 Fe 0.0000 0.5000 0.5000  2 C 1.93
3 Fe 0.5000 0.0000 0.5000  2 C 1.93
4 Pt 0.5000 0.5000 0.0000  4 Cr 2.72, 8 Fe 2.74
5 C 0.0000 0.0000 0.5000  4 Fe 1.93, 2 Cr 1.95

=====

Below is a relaxed structure of Pu2Cr2FeC4, with properties calculated at the PBE-GGA level.

## Properties
Calculated formation energy = -0.05 eV per atom

Cell: 6.1185 6.1185 5.4053 Å, 98.78 98.78 30.24°
With the nearest neighbours (Å) after each atom.
Positions (direct):
1 Pu 0.1197 0.1197 0.0367  7 C 2.39-2.64
2 Pu 0.8803 0.8803 0.9633  7 C 2.39-2.64
3 Cr 0.3363 0.3363 0.4534  4 C 1.98-2.20
4 Cr 0.6637 0.6637 0.5466  4 C 1.98-2.20
5 Fe 0.0000 0.0000 0.5000  4 C 1.97
6 C 0.2445 0.2445 0.7291  3 Cr 1.98-2.03
7 C 0.4994 0.4994 0.7136  2 Fe 1.97, 1 Cr 2.20
8 C 0.5006 0.5006 0.2864  2 Fe 1.97, 1 Cr 2.20
9 C 0.7555 0.7555 0.2709  3 Cr 1.98-2.03

=====

Below is a relaxed structure of CrFe2RhC, with properties calculated at the PBE-GGA level.

## Properties
Calculated formation energy = 0.08 eV per atom

Cell: 3.8188 3.8188 3.8895 Å, 90.00 90.00 90.00°
With the nearest neighbours (Å) after each atom.
Positions (direct):
1 Cr 0.0000 0.0000 0.0000  2 C 1.94
2 Fe 0.0000 0.5000 0.5000  2 C 1.91
3 Fe 0.5000 0.0000 0.5000  2 C 1.91
4 Rh 0.5000 0.5000 0.0000  4 Cr 2.70, 8 Fe 2.73
5 C 0.0000 0.0000 0.5000  4 Fe 1.91, 2 Cr 1.94

=====

Below is a relaxed structure of Cr2FeRhC, with properties calculated at the PBE-GGA level.

## Properties
Calculated formation energy = 0.05 eV per atom

Cell: 3.8617 3.8617 3.7692 Å, 90.00 90.00 90.00°
With the nearest neighbours (Å) after each atom.
Positions (direct):
1 Cr 0.0000 0.5000 0.0000  2 C 1.93
2 Cr 0.5000 0.0000 0.0000  2 C 1.93
3 Fe 0.0000 0.0000 0.5000  2 C 1.88
4 Rh 0.5000 0.5000 0.5000  8 Cr 2.70, 4 Fe 2.73
5 C 0.0000 0.0000 0.0000  2 Fe 1.88, 4 Cr 1.93

=====

Below is a relaxed structure of CrFeCS2, with properties calculated at the PBE-GGA level.

## Properties
Formation energy (no corrections) = 1.0556 eV/atom

Cell: 4.2930 4.2930 3.7472 Å, 90.00 90.00 90.00°
With the nearest neighbours (Å) after each atom.
Positions (direct):
1 Cr 0.0000 0.0000 0.0000  2 C 1.87
2 Fe 0.5000 0.5000 0.0000  8 S 2.85, 4 Cr 3.04
3 C 0.0000 0.0000 0.5000  2 Cr 1.87
4 S 0.0000 0.5000 0.5000  2 C 2.15
5 S 0.5000 0.0000 0.5000  2 C 2.15

=====

Below is a relaxed structure of Cr2FeSbC, with properties calculated at the PBE-GGA level.

## Properties
Formation energy (no corrections) = 0.0995 eV/atom

Cell: 3.9478 3.9478 3.8749 Å, 90.00 90.00 90.00°
With the nearest neighbours (Å) after each atom.
Positions (direct):
1 Cr 0.0000 0.5000 0.0000  2 C 1.97
2 Cr 0.5000 0.0000 0.0000  2 C 1.97
3 Fe 0.0000 0.0000 0.5000  2 C 1.94
4 Sb 0.5000 0.5000 0.5000  8 Cr 2.77, 4 Fe 2.79
5 C 0.0000 0.0000 0.0000  2 Fe 1.94, 4 Cr 1.97

=====

Below is a relaxed structure of ScCrFe2C, with properties calculated at the PBE-GGA level.

## Properties
Calculated formation energy = -0.08 eV per atom

Cell: 3.8526 3.8526 3.9434 Å, 90.00 90.00 90.00°
With the nearest neighbours (Å) after each atom.
Positions (direct):
1 Sc 0.0000 0.0000 0.0000  4 Cr 2.72, 8 Fe 2.76
2 Cr 0.5000 0.5000 0.0000  2 C 1.97
3 Fe 0.0000 0.5000 0.5000  2 C 1.93
4 Fe 0.5000 0.0000 0.5000  2 C 1.93
5 C 0.5000 0.5000 0.5000  4 Fe 1.93, 2 Cr 1.97

=====

Below is a relaxed structure of ScCrFeC2, with properties calculated at the PBE-GGA level.

## Properties
Calculated formation energy = 0.92 eV per atom

Cell: 3.8060 3.8060 4.3727 Å, 90.00 90.00 90.00°
With the nearest neighbours (Å) after each atom.
Positions (direct):
1 Sc 0.0000 0.0000 0.0000  4 Fe 2.69, 8 C 2.90
2 Cr 0.5000 0.5000 0.5000  4 C 1.90
3 Fe 0.5000 0.5000 0.0000  2 Cr 2.19
4 C 0.0000 0.5000 0.5000  2 Cr 1.90
5 C 0.5000 0.0000 0.5000  2 Cr 1.90

=====

Below is a relaxed structure of Sm2CrFe16C2, with properties calculated at the PBE-GGA level.

## Properties
Calculated formation energy = -0.03 eV per atom

Cell: 6.4862 6.4862 6.5012 Å, 96.63 96.63 83.42°
With the nearest neighbours (Å) after each atom.
Positions (direct):
1 Sm 0.0000 0.0000 0.0000  2 C 2.54
2 Sm 0.7048 0.7048 0.3279  2 C 2.54
3 Cr 0.4429 0.4429 0.5740  1 Fe 2.32
4 Fe 0.0049 0.4941 0.0058  1 C 1.92
5 Fe 0.0076 0.0076 0.5248  9 Fe 2.47-2.69
6 Fe 0.0615 0.3463 0.3823  1 C 1.85
7 Fe 0.0672 0.6294 0.6662  9 Fe 2.43-2.70, 1 Cr 2.69
8 Fe 0.2042 0.6924 0.3266  1 C 1.92
9 Fe 0.2568 0.2568 0.7588  1 Cr 2.32
10 Fe 0.3463 0.0615 0.3823  1 C 1.85
11 Fe 0.3483 0.3483 0.1690  9 Fe 2.43-2.68, 1 Cr 2.65
12 Fe 0.3499 0.6316 0.9557  1 C 1.85
13 Fe 0.3506 0.8467 0.6666  9 Fe 2.43-2.67, 1 Cr 2.63
14 Fe 0.4941 0.0049 0.0058  1 C 1.92
15 Fe 0.6294 0.0672 0.6662  9 Fe 2.43-2.70, 1 Cr 2.69
16 Fe 0.6316 0.3499 0.9557  1 C 1.85
17 Fe 0.6904 0.6904 0.8129  8 Fe 2.45-2.70, 1 Cr 2.65
18 Fe 0.6924 0.2042 0.3266  1 C 1.92
19 Fe 0.8467 0.3506 0.6666  9 Fe 2.43-2.67, 1 Cr 2.63
20 C 0.3495 0.8490 0.1670  4 Fe 1.85-1.92
21 C 0.8490 0.3495 0.1670  4 Fe 1.85-1.92

=====

Below is a relaxed structure of SmCrFeC2, with properties calculated at the PBE-GGA level.

## Properties
Calculated formation energy = -0.14 eV per atom

Cell: 3.5270 3.5270 9.9785 Å, 90.00 90.00 90.00°
With the nearest neighbours (Å) after each atom.
Positions (direct):
1 Sm 0.0000 0.0000 0.0000  8 C 2.99, 4 Cr 3.05, 4 Fe 3.05
2 Sm 0.5000 0.5000 0.5000  8 C 2.99, 4 Cr 3.05, 4 Fe 3.05
3 Cr 0.0000 0.5000 0.7500  4 C 1.96
4 Cr 0.5000 0.0000 0.2500  4 C 1.96
5 Fe 0.0000 0.5000 0.2500  4 C 1.96
6 Fe 0.5000 0.0000 0.7500  4 C 1.96
7 C 0.0000 0.0000 0.3353  2 Cr 1.96, 2 Fe 1.96
8 C 0.0000 0.0000 0.6647  2 Cr 1.96, 2 Fe 1.96
9 C 0.5000 0.5000 0.1647  2 Cr 1.96, 2 Fe 1.96
10 C 0.5000 0.5000 0.8353  2 Cr 1.96, 2 Fe 1.96

=====

Below is a relaxed structure of CrFe2SnC, with properties calculated at the PBE-GGA level.

## Properties
Calculated formation energy = 0.04 eV per atom

Cell: 3.9074 3.9074 3.9182 Å, 90.00 90.00 90.00°
With the nearest neighbours (Å) after each atom.
Positions (direct):
1 Cr 0.0000 0.0000 0.0000  2 C 1.96
2 Fe 0.0000 0.5000 0.5000  2 C 1.95
3 Fe 0.5000 0.0000 0.5000  2 C 1.95
4 Sn 0.5000 0.5000 0.0000  4 Cr 2.76, 8 Fe 2.77
5 C 0.0000 0.0000 0.5000  4 Fe 1.95, 2 Cr 1.96

=====

Below is a relaxed structure of TaCrFe2C, with properties calculated at the PBE-GGA level.

## Properties
Calculated formation energy = -0.11 eV per atom

Cell: 3.7695 3.7695 3.9219 Å, 90.00 90.00 90.00°
With the nearest neighbours (Å) after each atom.
Positions (direct):
1 Ta 0.0000 0.0000 0.0000  4 Cr 2.67, 8 Fe 2.72
2 Cr 0.5000 0.5000 0.0000  2 C 1.96
3 Fe 0.0000 0.5000 0.5000  2 C 1.88
4 Fe 0.5000 0.0000 0.5000  2 C 1.88
5 C 0.5000 0.5000 0.5000  4 Fe 1.88, 2 Cr 1.96

=====

Below is a relaxed structure of Ta6Cr3Fe3C2, with properties calculated at the PBE-GGA level.

## Properties
Calculated formation energy = -0.33 eV per atom

Cell: 8.0858 8.0858 8.0858 Å, 120.16 119.93 89.92°
With the nearest neighbours (Å) after each atom.
Positions (direct):
1 Ta 0.0000 0.0000 0.0000  2 C 2.17
2 Ta 0.0003 0.0007 0.6108  2 C 2.17
3 Ta 0.0003 0.3895 0.9996  2 C 2.17
4 Ta 0.2500 0.1395 0.5002  2 C 2.17
5 Ta 0.2500 0.7498 0.1105  2 C 2.17
6 Ta 0.2505 0.7505 0.5000  2 C 2.16
7 Ta 0.3899 0.0007 0.0004  2 C 2.17
8 Ta 0.3899 0.3895 0.3892  2 C 2.17
9 Ta 0.3901 0.3901 0.0000  2 C 2.17
10 Ta 0.6392 0.1395 0.8895  2 C 2.17
11 Ta 0.6392 0.7498 0.4998  2 C 2.17
12 Ta 0.6406 0.1406 0.5000  2 C 2.18
13 Cr 0.0245 0.3688 0.6557  4 Cr 2.44-2.52, 2 Fe 2.53
14 Cr 0.3221 0.5715 0.7506  5 Fe 2.41-2.45, 1 Cr 2.44
15 Cr 0.7131 0.3688 0.3443  4 Cr 2.44-2.52, 2 Fe 2.53
16 Cr 0.8201 0.0693 0.2492  4 Fe 2.42-2.47, 2 Cr 2.45
17 Cr 0.8201 0.5709 0.7508  4 Fe 2.42-2.47, 2 Cr 2.45
18 Cr 0.8210 0.5715 0.2494  5 Fe 2.41-2.45, 1 Cr 2.44
19 Fe 0.0255 0.3689 0.3433  5 Cr 2.45-2.53, 1 Fe 2.53
20 Fe 0.0255 0.6822 0.6567  5 Cr 2.45-2.53, 1 Fe 2.53
21 Fe 0.6179 0.4639 0.8461  3 Cr 2.43-2.44, 3 Fe 2.47-2.48
22 Fe 0.6179 0.7718 0.1539  3 Cr 2.43-2.44, 3 Fe 2.47-2.48
23 Fe 0.6190 0.7709 0.8481  3 Cr 2.41-2.42, 3 Fe 2.46-2.47
24 Fe 0.9228 0.7709 0.1519  3 Cr 2.41-2.42, 3 Fe 2.46-2.47
25 C 0.3193 0.0699 0.2495  6 Ta 2.17-2.18
26 C 0.3198 0.0695 0.7497  6 Ta 2.16-2.17
27 C 0.3198 0.5700 0.2503  6 Ta 2.16-2.17
28 C 0.8204 0.0699 0.7505  6 Ta 2.17-2.18